Record 1
VASP calculation (PBE-GGA) on a relaxed structure of CaSbNF2.

## Properties
Density of states at the Fermi level ... 0.74 states/eV per cell
Uncorrected formation energy ... -1.15 eV/atom
M_tot ... 0.0 μB/f.u.
Density ... 4.1 g/cm3
Space group ... P4/mmm, No. 123
E_tot ... -23.94 eV per cell
E above lowest polymorph ... 40 meV per atom

Unit cell a=4.107 b=4.107 c=5.175 alpha=90.00 beta=90.00 gamma=90.00
Sites, in units of the cell vectors:
1 Ca 0.000 0.000 0.000
2 Sb 0.500 0.500 0.500
3 N 0.000 0.000 0.500
4 F 0.000 0.500 0.000
5 F 0.500 0.000 0.000

---

Record 2
VASP calculation (PBE-GGA) on a relaxed structure of CaSbNF2.

## Properties
Density of states at the Fermi level ... 1.00 states/eV per cell
Uncorrected formation energy ... -1.19 eV/atom
M_tot ... 0.0 μB/f.u.
Density ... 4.0 g/cm3
Space group ... P4/mmm, No. 123
E_tot ... -24.14 eV per cell
E above lowest polymorph ... 0 meV per atom

Unit cell a=4.508 b=4.508 c=4.367 alpha=90.00 beta=90.00 gamma=90.00
Sites, in units of the cell vectors:
1 Ca 0.000 0.000 0.000
2 Sb 0.500 0.500 0.500
3 N 0.500 0.500 0.000
4 F 0.000 0.500 0.500
5 F 0.500 0.000 0.500

---

Record 3
VASP calculation (PBE-GGA) on a relaxed structure of CaScNF2.

## Properties
Density of states at the Fermi level ... 0.05 states/eV per cell
Uncorrected formation energy ... -1.70 eV/atom
M_tot ... 0.0 μB/f.u.
Density ... 2.8 g/cm3
Space group ... P4/mmm, No. 123
E_tot ... -28.89 eV per cell
E above lowest polymorph ... 812 meV per atom

Unit cell a=4.035 b=4.035 c=4.988 alpha=90.00 beta=90.00 gamma=90.00
Sites, in units of the cell vectors:
1 Ca 0.000 0.000 0.000
2 Sc 0.500 0.500 0.500
3 N 0.000 0.000 0.500
4 F 0.000 0.500 0.000
5 F 0.500 0.000 0.000

---

Record 4
VASP calculation (PBE-GGA) on a relaxed structure of CaScNF2.

## Properties
Uncorrected formation energy ... -2.51 eV/atom
M_tot ... 0.0 μB/f.u.
Density ... 3.2 g/cm3
Space group ... P4/mmm, No. 123
E_tot ... -32.95 eV per cell
E above lowest polymorph ... 0 meV per atom

Unit cell a=4.072 b=4.072 c=4.304 alpha=90.00 beta=90.00 gamma=90.00
Sites, in units of the cell vectors:
1 Ca 0.000 0.000 0.000
2 Sc 0.500 0.500 0.500
3 N 0.500 0.500 0.000
4 F 0.000 0.500 0.500
5 F 0.500 0.000 0.500